Entry 1:
! CaMg6Mn, optimized geometry, DFT PBE; values from VASP
! ΔH_f (0 K)	0.126	eV per atom
! electronic total energy	-39.5	eV/cell
&SYSTEM
  ibrav = 0, nat = 16, ntyp = 3
/
ATOMIC_SPECIES
Ca 40.08 Ca.upf
Mg 24.30 Mg.upf
Mn 54.94 Mn.upf
CELL_PARAMETERS angstrom
5.1224 0.0000 0.0000
0.0000 6.5265 0.0000
0.0000 0.0000 11.2813
ATOMIC_POSITIONS crystal
Ca 0.0000 0.0000 0.0000
Ca 0.0000 0.5000 0.5000
Mg 0.0000 0.0000 0.4938
Mg 0.0000 0.2390 0.2459
Mg 0.0000 0.2610 0.7459
Mg 0.0000 0.5000 0.9938
Mg 0.0000 0.7390 0.7459
Mg 0.0000 0.7610 0.2459
Mg 0.5000 0.0000 0.6633
Mg 0.5000 0.2402 0.4073
Mg 0.5000 0.2598 0.9073
Mg 0.5000 0.5000 0.1633
Mg 0.5000 0.7402 0.9073
Mg 0.5000 0.7598 0.4073
Mn 0.5000 0.0000 0.1740
Mn 0.5000 0.5000 0.6740



Entry 2:
! Ca2MgMnN, optimized geometry, DFT PBE; values from VASP
! energy above the lowest structure with this stoichiometry	1.808	eV per atom
! raw formation energy	7.55	eV/f.u.
! electronic total energy	-15.5	eV/cell
&SYSTEM
  ibrav = 0, nat = 5, ntyp = 4
/
ATOMIC_SPECIES
Ca 40.08 Ca.upf
Mg 24.30 Mg.upf
Mn 54.94 Mn.upf
N 14.01 N.upf
CELL_PARAMETERS angstrom
5.8245 0.0000 0.0000
0.0000 5.8245 0.0000
0.0000 0.0000 4.7151
ATOMIC_POSITIONS crystal
Ca 0.0000 0.5000 0.0000
Ca 0.5000 0.0000 0.0000
Mg 0.0000 0.0000 0.0000
Mn 0.0000 0.0000 0.5000
N 0.5000 0.5000 0.5000



Entry 3:
! Ca2MgMnN, optimized geometry, DFT PBE; values from VASP
! energy above the lowest structure with this stoichiometry	0.000	eV per atom
! raw formation energy	-1.49	eV/f.u.
! electronic total energy	-24.6	eV/cell
&SYSTEM
  ibrav = 0, nat = 5, ntyp = 4
/
ATOMIC_SPECIES
Ca 40.08 Ca.upf
Mg 24.30 Mg.upf
Mn 54.94 Mn.upf
N 14.01 N.upf
CELL_PARAMETERS angstrom
5.2004 0.0000 0.0000
0.0000 5.2004 0.0000
0.0000 0.0000 3.8132
ATOMIC_POSITIONS crystal
Ca 0.0000 0.5000 0.0000
Ca 0.5000 0.0000 0.0000
Mg 0.0000 0.0000 0.5000
Mn 0.5000 0.5000 0.5000
N 0.5000 0.5000 0.0000